DFT (GGA-PBEsol) results for a geometry-optimized GePdI2O structure.

The structure in POSCAR format:
```
GePdI2O
1.0
3.841 0.000 0.000
0.000 5.465 0.000
0.000 0.000 5.465
I Ge O Pd
2 1 1 1
Cartesian
0.000 0.000 2.732 I
0.000 2.732 0.000 I
1.920 2.732 2.732 Ge
1.920 0.000 0.000 O
0.000 0.000 0.000 Pd
```

Values from the calculation:
E_form (uncorrected) in eV/atom: 0.09
Total magnetization in μB/atom: 0.1510
Distance to the lowest polymorph of the same formula in eV/atom: 0.075
E_tot in eV/f.u.: -19.213
Symmetry: P4/mmm (123)
Density in g/cm3: 6.50
V in Å³ per cell: 115